Ta3Mo5: PBEsol geometry, meta-GGA SCAN.

DOS at the Fermi energy ... 3.8 states/eV/cell
Electronic total energy ... -375.6 eV per cell
SG ... Im-3m, No. 229
Energy of formation ... -0.179 eV/atom

Unit cell a=5.507 b=5.507 c=5.507 alpha=109.47 beta=109.47 gamma=109.47
Positions (direct):
Ta (0.000, 0.500, 0.500)
Ta (0.500, 0.000, 0.500)
Ta (0.500, 0.500, 0.000)
Mo (0.000, 0.000, 0.000)
Mo (0.000, 0.000, 0.500)
Mo (0.000, 0.500, 0.000)
Mo (0.500, 0.000, 0.000)
Mo (0.500, 0.500, 0.500)

=====

Ta3Mo5: PBEsol geometry, meta-GGA SCAN.

DOS at the Fermi energy ... 4.2 states/eV/cell
Electronic total energy ... -375.3 eV per cell
SG ... Pm, No. 6
Energy of formation ... -0.135 eV/atom

Unit cell a=5.259 b=4.487 c=5.530 alpha=90.00 beta=100.34 gamma=90.00
Positions (direct):
Ta (0.000, 0.000, 0.000)
Ta (0.007, 0.000, 0.499)
Ta (0.748, 0.500, 0.631)
Mo (0.248, 0.500, 0.373)
Mo (0.257, 0.500, 0.876)
Mo (0.498, 0.000, 0.753)
Mo (0.503, 0.000, 0.253)
Mo (0.749, 0.500, 0.130)

=====

Ta3Mo5: PBEsol geometry, meta-GGA SCAN.

DOS at the Fermi energy ... 4.1 states/eV/cell
Electronic total energy ... -375.0 eV per cell
SG ... P2, No. 3
Energy of formation ... -0.098 eV/atom

Unit cell a=2.775 b=8.936 c=5.258 alpha=90.00 beta=99.71 gamma=90.00
Positions (direct):
Ta (0.000, 0.000, 0.000)
Ta (0.254, 0.739, 0.748)
Ta (0.746, 0.739, 0.252)
Mo (0.000, 0.486, 0.000)
Mo (0.252, 0.246, 0.749)
Mo (0.500, 0.486, 0.500)
Mo (0.500, 0.999, 0.500)
Mo (0.748, 0.246, 0.251)

=====

TaMo2: PBEsol geometry, meta-GGA SCAN.

DOS at the Fermi energy ... 1.4 states/eV/cell
Electronic total energy ... -136.7 eV per cell
SG ... Fmmm, No. 69
Energy of formation ... -0.101 eV/atom

Unit cell a=7.033 b=6.843 c=2.769 alpha=82.38 beta=74.66 gamma=22.97
Positions (direct):
Ta (0.000, 0.000, 0.000)
Mo (0.331, 0.331, 0.669)
Mo (0.669, 0.669, 0.331)

=====

TaMo7: PBEsol geometry, meta-GGA SCAN.

DOS at the Fermi energy ... 3.5 states/eV/cell
Electronic total energy ... -311.3 eV per cell
SG ... Cmmm, No. 65
Energy of formation ... -0.071 eV/atom

Unit cell a=5.449 b=5.449 c=4.440 alpha=90.00 beta=90.00 gamma=109.54
Positions (direct):
Ta (0.000, 0.000, 0.000)
Mo (0.000, 0.500, 0.000)
Mo (0.249, 0.751, 0.500)
Mo (0.253, 0.253, 0.500)
Mo (0.500, 0.000, 0.000)
Mo (0.500, 0.500, 0.000)
Mo (0.747, 0.747, 0.500)
Mo (0.751, 0.249, 0.500)

=====

TaMo2: PBEsol geometry, meta-GGA SCAN.

DOS at the Fermi energy ... 2.7 states/eV/cell
Electronic total energy ... -273.5 eV per cell
SG ... Cmcm, No. 63
Energy of formation ... -0.139 eV/atom

Unit cell a=7.098 b=7.098 c=3.174 alpha=90.00 beta=90.00 gamma=143.21
Positions (direct):
Ta (0.086, 0.914, 0.750)
Ta (0.914, 0.086, 0.250)
Mo (0.253, 0.747, 0.250)
Mo (0.416, 0.584, 0.750)
Mo (0.584, 0.416, 0.250)
Mo (0.747, 0.253, 0.750)

=====

Ta3Mo5: PBEsol geometry, meta-GGA SCAN.

DOS at the Fermi energy ... 3.8 states/eV/cell
Electronic total energy ... -375.2 eV per cell
SG ... P-4m2, No. 115
Energy of formation ... -0.128 eV/atom

Unit cell a=4.488 b=4.488 c=6.362 alpha=90.00 beta=90.00 gamma=90.00
Positions (direct):
Ta (0.000, 0.000, 0.000)
Ta (0.000, 0.500, 0.255)
Ta (0.500, 0.000, 0.745)
Mo (0.000, 0.000, 0.500)
Mo (0.000, 0.500, 0.748)
Mo (0.500, 0.000, 0.252)
Mo (0.500, 0.500, 0.000)
Mo (0.500, 0.500, 0.500)

=====

Ta3Mo2: PBEsol geometry, meta-GGA SCAN.

DOS at the Fermi energy ... 4.1 states/eV/cell
Electronic total energy ... -270.0 eV per cell
SG ... Fmmm, No. 69
Energy of formation ... -0.102 eV/atom

Unit cell a=11.408 b=11.283 c=2.819 alpha=85.40 beta=80.34 gamma=14.26
Positions (direct):
Ta (0.000, 0.000, 0.000)
Ta (0.197, 0.197, 0.803)
Ta (0.803, 0.803, 0.197)
Mo (0.401, 0.401, 0.599)
Mo (0.599, 0.599, 0.401)